Record 1
CoSn3Cl | meta-GGA SCAN | single point on PBEsol structure

Lattice parameters (Å, degrees): 5.201 5.201 5.201 90.00 90.00 90.00
Element x y z (fractional)
Co 0.000 0.000 0.000
Sn 0.000 0.500 0.500
Sn 0.500 0.000 0.500
Sn 0.500 0.500 0.000
Cl 0.500 0.500 0.500

Values from the calculation:
crystal system	cubic
space-group type	Pm-3m
E_tot	-128.193	eV/cell
D(E_F)	1.78	states/eV/f.u.
uncorrected formation energy	0.9705	eV/atom
spin magnetization	0.4233	μB per atom
volume	141	Å³ per cell

=====

Record 2
Sr2CoCl | meta-GGA SCAN | single point on PBEsol structure

Lattice parameters (Å, degrees): 8.227 8.227 8.227 154.30 153.63 37.16
Element x y z (fractional)
Sr 0.000 0.000 0.000
Sr 0.775 0.275 0.500
Co 0.411 0.411 0.000
Cl 0.167 0.667 0.500

Values from the calculation:
crystal system	orthorhombic
space-group type	Imm2
E_tot	-72.060	eV/cell
D(E_F)	1.92	states/eV/f.u.
uncorrected formation energy	-0.5569	eV/atom
spin magnetization	0.2127	μB per atom
volume	107	Å³ per cell

=====

Record 3
Sr2CoCl | meta-GGA SCAN | single point on PBEsol structure

Lattice parameters (Å, degrees): 4.260 4.260 5.862 90.00 90.00 90.00
Element x y z (fractional)
Sr 0.000 0.000 0.000
Sr 0.500 0.500 0.500
Co 0.000 0.000 0.500
Cl 0.500 0.500 0.000

Values from the calculation:
crystal system	tetragonal
space-group type	P4/mmm
E_tot	-72.343	eV/cell
D(E_F)	3.02	states/eV/f.u.
uncorrected formation energy	-0.6275	eV/atom
spin magnetization	0.2479	μB per atom
volume	106	Å³ per cell

=====

Record 4
TaCoCl2 | meta-GGA SCAN | single point on PBEsol structure

Lattice parameters (Å, degrees): 4.241 4.241 4.241 60.00 60.00 60.00
Element x y z (fractional)
Ta 0.000 0.000 0.000
Co 0.500 0.500 0.500
Cl 0.250 0.250 0.250
Cl 0.750 0.750 0.750

Values from the calculation:
crystal system	cubic
space-group type	Fm-3m
E_tot	-97.495	eV/cell
D(E_F)	1.41	states/eV/f.u.
uncorrected formation energy	0.5870	eV/atom
spin magnetization	0.3783	μB per atom
volume	54	Å³ per cell

=====

Record 5
Ta2CoCl | meta-GGA SCAN | single point on PBEsol structure

Lattice parameters (Å, degrees): 4.445 4.445 4.445 60.00 60.00 60.00
Element x y z (fractional)
Ta 0.000 0.000 0.000
Ta 0.250 0.250 0.250
Co 0.500 0.500 0.500
Cl 0.750 0.750 0.750

Values from the calculation:
crystal system	cubic
space-group type	F-43m
E_tot	-154.068	eV/cell
D(E_F)	2.32	states/eV/f.u.
uncorrected formation energy	1.0952	eV/atom
spin magnetization	0.0000	μB per atom
volume	62	Å³ per cell

=====

Record 6
Ta2CoCl | meta-GGA SCAN | single point on PBEsol structure

Lattice parameters (Å, degrees): 4.365 4.365 4.365 120.76 120.70 88.74
Element x y z (fractional)
Ta 0.249 0.249 0.000
Ta 0.751 0.751 0.000
Co 0.500 0.000 0.500
Cl 0.000 0.500 0.500

Values from the calculation:
crystal system	orthorhombic
space-group type	Immm
E_tot	-156.338	eV/cell
D(E_F)	4.33	states/eV/f.u.
uncorrected formation energy	0.5277	eV/atom
spin magnetization	0.0000	μB per atom
volume	58	Å³ per cell

=====

Record 7
TaCo2Cl | meta-GGA SCAN | single point on PBEsol structure

Lattice parameters (Å, degrees): 2.954 2.954 6.959 90.00 90.00 90.00
Element x y z (fractional)
Ta 0.000 0.000 0.000
Co 0.000 0.000 0.626
Co 0.500 0.500 0.769
Cl 0.500 0.500 0.242

Values from the calculation:
crystal system	tetragonal
space-group type	P4mm
E_tot	-108.673	eV/cell
D(E_F)	2.54	states/eV/f.u.
uncorrected formation energy	0.1241	eV/atom
spin magnetization	0.8774	μB per atom
volume	61	Å³ per cell

=====

Record 8
TaCo2Cl | meta-GGA SCAN | single point on PBEsol structure

Lattice parameters (Å, degrees): 4.672 4.672 2.863 90.00 90.00 118.74
Element x y z (fractional)
Ta 0.000 0.000 0.000
Co 0.000 0.500 0.500
Co 0.500 0.000 0.500
Cl 0.500 0.500 0.000

Values from the calculation:
crystal system	orthorhombic
space-group type	Cmmm
E_tot	-107.202	eV/cell
D(E_F)	2.26	states/eV/f.u.
uncorrected formation energy	0.4919	eV/atom
spin magnetization	0.8787	μB per atom
volume	55	Å³ per cell

=====

Record 9
TaCo2Cl | meta-GGA SCAN | single point on PBEsol structure

Lattice parameters (Å, degrees): 5.888 5.888 5.888 124.67 124.67 82.09
Element x y z (fractional)
Ta 0.000 0.000 0.000
Ta 0.750 0.250 0.500
Co 0.157 0.625 0.032
Co 0.375 0.407 0.532
Co 0.593 0.125 0.968
Co 0.875 0.843 0.468
Cl 0.250 0.750 0.500
Cl 0.500 0.500 0.000

Values from the calculation:
crystal system	tetragonal
space-group type	I-42d
E_tot	-212.775	eV/cell
D(E_F)	0.87	states/eV/f.u.
uncorrected formation energy	0.6956	eV/atom
spin magnetization	0.0000	μB per atom
volume	133	Å³ per cell

=====

Record 10
Ta2CoCl | meta-GGA SCAN | single point on PBEsol structure

Lattice parameters (Å, degrees): 3.606 3.606 6.550 105.64 105.64 60.06
Element x y z (fractional)
Ta 0.224 0.224 0.177
Ta 0.776 0.776 0.823
Co 0.500 0.500 0.000
Cl 0.000 0.000 0.500

Values from the calculation:
crystal system	monoclinic
space-group type	C2/m
E_tot	-158.758	eV/cell
uncorrected formation energy	-0.0774	eV/atom
spin magnetization	0.0000	μB per atom
volume	70	Å³ per cell

=====

Record 11
Ta2CoCl | meta-GGA SCAN | single point on PBEsol structure

Lattice parameters (Å, degrees): 2.924 2.955 7.294 90.00 90.00 90.00
Element x y z (fractional)
Ta 0.000 0.000 0.211
Ta 0.000 0.000 0.789
Co 0.500 0.500 0.000
Cl 0.000 0.500 0.500

Values from the calculation:
crystal system	orthorhombic
space-group type	Pmmm
E_tot	-158.179	eV/cell
D(E_F)	3.95	states/eV/f.u.
uncorrected formation energy	0.0675	eV/atom
spin magnetization	0.0003	μB per atom
volume	63	Å³ per cell

=====

Record 12
Ta2CoCl | meta-GGA SCAN | single point on PBEsol structure

Lattice parameters (Å, degrees): 2.872 2.872 8.248 90.00 90.00 110.29
Element x y z (fractional)
Ta 0.000 0.000 0.000
Ta 0.500 0.500 0.282
Co 0.500 0.500 0.784
Cl 0.000 0.000 0.519

Values from the calculation:
crystal system	orthorhombic
space-group type	Cmm2
E_tot	-157.975	eV/cell
D(E_F)	2.59	states/eV/f.u.
uncorrected formation energy	0.1184	eV/atom
spin magnetization	0.3730	μB per atom
volume	64	Å³ per cell

=====

Record 13
Ta2CoCl | meta-GGA SCAN | single point on PBEsol structure

Lattice parameters (Å, degrees): 4.284 4.284 4.284 116.44 116.44 96.28
Element x y z (fractional)
Ta 0.250 0.750 0.500
Ta 0.750 0.250 0.500
Co 0.000 0.000 0.000
Cl 0.500 0.500 0.000

Values from the calculation:
crystal system	tetragonal
space-group type	I4/mmm
E_tot	-156.399	eV/cell
D(E_F)	3.64	states/eV/f.u.
uncorrected formation energy	0.5125	eV/atom
spin magnetization	0.0005	μB per atom
volume	58	Å³ per cell

=====

Record 14
TaCoCl2 | meta-GGA SCAN | single point on PBEsol structure

Lattice parameters (Å, degrees): 4.267 4.267 3.043 90.00 90.00 90.00
Element x y z (fractional)
Ta 0.000 0.000 0.000
Co 0.500 0.500 0.000
Cl 0.000 0.500 0.500
Cl 0.500 0.000 0.500

Values from the calculation:
crystal system	tetragonal
space-group type	P4/mmm
E_tot	-96.853	eV/cell
D(E_F)	3.20	states/eV/f.u.
uncorrected formation energy	0.7476	eV/atom
spin magnetization	0.1157	μB per atom
volume	55	Å³ per cell

=====

Record 15
TaCo2Cl | meta-GGA SCAN | single point on PBEsol structure

Lattice parameters (Å, degrees): 4.332 4.332 2.860 90.00 90.00 90.00
Element x y z (fractional)
Ta 0.000 0.000 0.000
Co 0.000 0.500 0.500
Co 0.500 0.000 0.500
Cl 0.500 0.500 0.000

Values from the calculation:
crystal system	tetragonal
space-group type	P4/mmm
E_tot	-105.580	eV/cell
D(E_F)	4.57	states/eV/f.u.
uncorrected formation energy	0.8974	eV/atom
spin magnetization	0.0012	μB per atom
volume	54	Å³ per cell

=====

Record 16
CoTcCl | meta-GGA SCAN | single point on PBEsol structure

Lattice parameters (Å, degrees): 3.954 3.954 3.954 60.00 60.00 60.00
Element x y z (fractional)
Co 0.000 0.000 0.000
Tc 0.250 0.250 0.250
Cl 0.500 0.500 0.500

Values from the calculation:
crystal system	cubic
space-group type	F-43m
E_tot	-57.670	eV/cell
D(E_F)	3.53	states/eV/f.u.
uncorrected formation energy	0.8907	eV/atom
spin magnetization	0.0002	μB per atom
volume	44	Å³ per cell

=====

Record 17
CoTc2Cl | meta-GGA SCAN | single point on PBEsol structure

Lattice parameters (Å, degrees): 4.303 4.303 7.189 119.50 119.50 37.09
Element x y z (fractional)
Co 0.000 0.000 0.000
Tc 0.214 0.214 0.839
Tc 0.786 0.786 0.161
Cl 0.500 0.500 0.500

Values from the calculation:
crystal system	monoclinic
space-group type	C2/m
E_tot	-93.358	eV/cell
D(E_F)	2.71	states/eV/f.u.
uncorrected formation energy	0.5110	eV/atom
spin magnetization	0.3234	μB per atom
volume	69	Å³ per cell

=====

Record 18
CoTc2Cl | meta-GGA SCAN | single point on PBEsol structure

Lattice parameters (Å, degrees): 4.962 4.962 4.962 147.31 129.51 61.46
Element x y z (fractional)
Co 0.000 0.000 0.000
Tc 0.275 0.775 0.500
Tc 0.544 0.544 0.000
Cl 0.775 0.275 0.500

Values from the calculation:
crystal system	orthorhombic
space-group type	Imm2
E_tot	-92.515	eV/cell
D(E_F)	2.96	states/eV/f.u.
uncorrected formation energy	0.7219	eV/atom
spin magnetization	0.4023	μB per atom
volume	50	Å³ per cell

=====

Record 19
CoTcCl | meta-GGA SCAN | single point on PBEsol structure

Lattice parameters (Å, degrees): 5.678 5.678 5.678 151.60 151.60 40.60
Element x y z (fractional)
Co 0.000 0.000 0.000
Tc 0.636 0.636 0.000
Cl 0.299 0.299 0.000

Values from the calculation:
crystal system	tetragonal
space-group type	I4mm
E_tot	-58.877	eV/cell
D(E_F)	1.28	states/eV/f.u.
uncorrected formation energy	0.4884	eV/atom
spin magnetization	0.4418	μB per atom
volume	41	Å³ per cell

=====

Record 20
CoTeCl2 | meta-GGA SCAN | single point on PBEsol structure

Lattice parameters (Å, degrees): 5.134 5.134 3.123 90.00 90.00 108.31
Element x y z (fractional)
Co 0.000 0.000 0.000
Te 0.500 0.500 0.000
Cl 0.000 0.500 0.500
Cl 0.500 0.000 0.500

Values from the calculation:
crystal system	orthorhombic
space-group type	Cmmm
E_tot	-68.601	eV/cell
D(E_F)	2.10	states/eV/f.u.
uncorrected formation energy	0.4775	eV/atom
spin magnetization	0.6263	μB per atom
volume	78	Å³ per cell